Crystalline Mg2ZnOs at its relaxed geometry. Source: Alexandria via LeMat-Bulk, functional PBE.

The structure in POSCAR format:
```
Mg2ZnOs
1.0
2.7500 0.0000 0.0000
0.0000 4.2113 0.0000
0.0000 0.0000 5.5906
Mg Zn Os
2 1 1
direct
0.0000 0.0000 0.2385 Mg
0.0000 0.0000 0.7615 Mg
0.5000 0.5000 0.5000 Zn
0.5000 0.5000 0.0000 Os
```

- SG: Pmmm
- VASP energy: -15.22 eV for the cell shown
- Formation enthalpy at 0 K: 0.119 eV/atom
- Crystal system: orthorhombic
- N(E_F): 2.0 states/eV/cell

---

Crystalline SrNiSe2N at its relaxed geometry. Source: Alexandria via LeMat-Bulk, functional PBE.

The structure in POSCAR format:
```
SrNiSe2N
1.0
5.7947 0.0000 0.0000
0.0000 5.7947 0.0000
0.0000 0.0000 4.7777
Sr Ni Se N
1 1 2 1
direct
0.0000 0.0000 0.0000 Sr
0.5000 0.5000 0.5000 Ni
0.0000 0.5000 0.0000 Se
0.5000 0.0000 0.0000 Se
0.0000 0.0000 0.5000 N
```

- SG: P4/mmm
- Formation energy from raw total energies: 6.3 eV/f.u.
- Energy above the lowest structure with this stoichiometry: 1586 meV/atom
- VASP energy: -16.43 eV for the cell shown
- Crystal system: tetragonal
- N(E_F): 11.0 states/eV/cell

---

Crystalline YScAs2Rh5 at its relaxed geometry. Source: Alexandria via LeMat-Bulk, functional PBE.

The structure in POSCAR format:
```
YScAs2Rh5
1.0
4.2077 0.0000 0.0000
0.0000 4.2077 0.0000
0.0000 0.0000 8.7060
Y Sc As Rh
1 1 2 5
direct
0.0000 0.0000 0.0000 Y
0.0000 0.0000 0.5000 Sc
0.5000 0.5000 0.3585 As
0.5000 0.5000 0.6415 As
0.0000 0.5000 0.2371 Rh
0.0000 0.5000 0.7629 Rh
0.5000 0.0000 0.2371 Rh
0.5000 0.0000 0.7629 Rh
0.5000 0.5000 0.0000 Rh
```

- SG: P4/mmm
- VASP energy: -65.11 eV for the cell shown
- Formation enthalpy at 0 K: -0.696 eV/atom
- Crystal system: tetragonal
- N(E_F): 5.3 states/eV/cell

---

Crystalline CaAc2N2 at its relaxed geometry. Source: Alexandria via LeMat-Bulk, functional PBE.

The structure in POSCAR format:
```
CaAc2N2
1.0
-1.9789 1.9789 7.7022
1.9789 -1.9789 7.7022
1.9789 1.9789 -7.7022
Ca Ac N
1 2 2
direct
0.0000 0.0000 0.0000 Ca
0.3336 0.3336 0.0000 Ac
0.6664 0.6664 0.0000 Ac
0.1678 0.1678 0.0000 N
0.8322 0.8322 0.0000 N
```

- SG: I4/mmm
- Formation energy from raw total energies: -4.2 eV/f.u.
- Energy above the lowest structure with this stoichiometry: 0 meV/atom
- VASP energy: -31.03 eV for the cell shown
- Crystal system: tetragonal
- N(E_F): 3.0 states/eV/cell

---

Q: The highest VASP energy belongs to which entry?
A: Mg2ZnOs